[1]
The following is a PBE calculation of a relaxed structure of Ac6Ge2SbBr3, from Alexandria via LeMat-Bulk.

```
data_Ac6Ge2SbBr3
_cell_length_a 4.666
_cell_length_b 9.195
_cell_length_c 10.287
_cell_angle_alpha 100.62
_cell_angle_beta 103.11
_cell_angle_gamma 90.00
_symmetry_space_group_name_H-M 'P 1'
_symmetry_Int_Tables_number 1
loop_
_symmetry_equiv_pos_as_xyz
'x,y,z'
loop_
_atom_site_label
_atom_site_fract_x
_atom_site_fract_y
_atom_site_fract_z
Sb1 0.500 0.000 0.000
Ge1 0.832 0.666 0.664
Ge2 0.168 0.334 0.336
Br1 0.162 0.832 0.325
Br2 0.838 0.168 0.675
Br3 0.500 0.500 0.000
Ac1 0.327 0.432 0.653
Ac2 0.011 0.254 0.023
Ac3 0.989 0.746 0.977
Ac4 0.331 0.890 0.662
Ac5 0.669 0.110 0.338
Ac6 0.673 0.568 0.347
```

Properties
VASP energy: -57.14 eV for the cell shown
Crystal system: monoclinic
Formation energy without anion corrections: -1.176 eV per atom

***

[2]
The following is a PBE calculation of a relaxed structure of Y3Ga9Co2, from Alexandria via LeMat-Bulk.

```
data_Y3Ga9Co2
_cell_length_a 4.207
_cell_length_b 8.020
_cell_length_c 8.020
_cell_angle_alpha 72.51
_cell_angle_beta 74.79
_cell_angle_gamma 74.79
_symmetry_space_group_name_H-M 'P 1'
_symmetry_Int_Tables_number 1
loop_
_symmetry_equiv_pos_as_xyz
'x,y,z'
loop_
_atom_site_label
_atom_site_fract_x
_atom_site_fract_y
_atom_site_fract_z
Y1 0.697 0.303 0.303
Y2 0.000 0.000 0.000
Y3 0.303 0.697 0.697
Ga1 0.652 0.710 0.986
Ga2 0.348 0.014 0.290
Ga3 0.652 0.986 0.710
Ga4 0.348 0.290 0.014
Ga5 0.000 0.500 0.500
Ga6 0.129 0.154 0.587
Ga7 0.129 0.587 0.154
Ga8 0.871 0.846 0.413
Ga9 0.871 0.413 0.846
Co1 0.500 0.321 0.679
Co2 0.500 0.679 0.321
```

Properties
VASP energy: -68.18 eV for the cell shown
Formation enthalpy at 0 K: -0.52 eV/atom
Crystal system: orthorhombic